Entry 1:
Computed, not measured: a relaxed AcPmCuTe crystal at the PBE level of DFT.

Results
The symmetry is F-43m. The calculation puts the theoretical density at 8.14 g/cm3. For the total energy, the calculation gives -0.333 Ry/atom. The calculation puts the size of the total moment at 1.0 Bohr magnetons per cell.

```
4
Lattice="5.456 0.000 0.000 2.728 4.725 0.000 2.728 1.575 4.455" Properties=species:S:1:pos:R:3 pbc="T T T"
Pm 0.000 0.000 0.000
Te 2.728 1.575 1.114
Cu 8.184 4.725 3.341
Ac 5.456 3.150 2.227
```



Entry 2:
Computed, not measured: a relaxed Pm8Ir3RhBr4 crystal at the PBE level of DFT.

Results
The symmetry is R-3m. The calculation puts the theoretical density at 7.82 g/cm3. For the total energy, the calculation gives -0.442 Ry/atom. The calculation puts the size of the total moment at 0.0 Bohr magnetons per cell.

```
16
Lattice="-3.282 7.418 -1.581 -0.241 -1.999 -8.877 -3.853 -5.217 5.124" Properties=species:S:1:pos:R:3 pbc="T T T"
Ir -1.762 2.710 -5.229
Pm -4.350 1.624 -4.948
Rh -0.121 -1.000 -4.439
Pm -4.662 2.290 -1.181
Pm -1.106 1.192 -2.947
Ir -3.689 0.101 -2.668
Pm -2.716 -2.087 -4.154
Ir -2.047 -3.608 -1.877
Br 0.000 0.000 0.000
Br -3.568 1.101 1.771
Br -1.927 -2.608 2.562
Pm -2.742 4.889 -3.735
Pm -4.635 -4.686 -1.600
Br -1.641 3.709 -0.791
Pm -3.027 -1.422 -0.387
Pm -6.271 -0.990 -2.388
```



Entry 3:
Computed, not measured: a relaxed Y3PdCl crystal at the PBE level of DFT.

Results
The symmetry is Pm-3m. The calculation puts the theoretical density at 5.21 g/cm3. The calculation puts the polymorph energy (0 for the lowest one) at 0.000 eV per formula unit. For the total energy, the calculation gives -0.417 Ry/atom. The calculation puts the size of the total moment at 0.0 Bohr magnetons per cell.

```
5
Lattice="-3.063 -0.253 -4.032 4.035 0.044 -3.069 0.189 -5.063 0.175" Properties=species:S:1:pos:R:3 pbc="T T T"
Pd 0.580 -2.636 -3.463
Y -1.532 -0.127 -2.016
Y 2.018 0.022 -1.534
Cl 0.000 0.000 0.000
Y 0.094 -2.532 0.087
```



Entry 4:
Computed, not measured: a relaxed Tb3Pr2Ho6Tm crystal at the PBE level of DFT.

Results
The symmetry is C2/m. The calculation puts the theoretical density at 8.32 g/cm3. For the total energy, the calculation gives -0.338 Ry/atom. The calculation puts the size of the total moment at 0.0 Bohr magnetons per cell.

```
12
Lattice="-3.422 2.172 4.648 -2.457 -3.946 -4.053 5.312 -8.322 6.441" Properties=species:S:1:pos:R:3 pbc="T T T"
Ho 2.514 -6.661 4.963
Ho -3.081 -3.435 2.074
Ho -0.275 -8.571 3.819
Ho -0.596 -6.538 6.709
Tb -0.606 -3.008 6.420
Tm 0.000 0.000 0.000
Tb -0.284 -5.048 3.518
Pr -2.779 -1.906 -1.152
Pr -3.101 0.132 1.747
Ho -0.293 -1.526 3.218
Tb 0.038 -7.089 0.617
Ho 0.028 -3.558 0.328
```



Entry 5:
Computed, not measured: a relaxed ThNpRu2 crystal at the PBE level of DFT.

Results
The symmetry is P4/mmm. The calculation puts the theoretical density at 13.62 g/cm3. For the total energy, the calculation gives -0.726 Ry/atom. The calculation puts the size of the total moment at 2.7 Bohr magnetons per cell.

```
4
Lattice="-2.907 -0.868 1.396 -0.647 -2.002 -2.594 3.319 -5.553 3.459" Properties=species:S:1:pos:R:3 pbc="T T T"
Np -1.777 -1.435 -0.599
Ru 0.705 -1.179 0.734
Th -0.118 -4.212 1.130
Ru 2.614 -4.374 2.724
```



Entry 6:
Computed, not measured: a relaxed La2DyAl crystal at the PBE level of DFT.

Results
The symmetry is R3m. The calculation puts the theoretical density at 6.05 g/cm3. The calculation puts the polymorph energy (0 for the lowest one) at 0.748 eV per formula unit. For the total energy, the calculation gives -0.334 Ry/atom. The calculation puts the size of the total moment at 0.4 Bohr magnetons per cell.

```
4
Lattice="3.686 0.000 0.000 1.843 3.192 0.000 1.844 1.065 10.904" Properties=species:S:1:pos:R:3 pbc="T T T"
Dy 3.687 2.129 5.448
La 1.844 1.064 2.415
Al 3.687 2.128 0.004
La 1.844 1.065 8.490
```



Entry 7:
Computed, not measured: a relaxed Ho4PdPt3 crystal at the PBE level of DFT.

Results
The symmetry is Pmm2. The calculation puts the theoretical density at 12.73 g/cm3. For the total energy, the calculation gives -0.472 Ry/atom. The calculation puts the size of the total moment at 0.0 Bohr magnetons per cell.

```
8
Lattice="-0.480 -1.691 -3.322 -3.627 -2.060 1.573 -5.965 8.039 -3.229" Properties=species:S:1:pos:R:3 pbc="T T T"
Ho -4.049 4.287 -3.723
Ho -4.227 1.054 -2.051
Pt -2.444 3.294 -1.323
Ho -0.821 1.106 -0.444
Pt -5.696 6.507 -4.614
Pt -5.321 3.697 -1.113
Ho -6.940 5.879 -1.989
Pd -2.577 -1.170 -1.158
```



Entry 8:
Computed, not measured: a relaxed Pr2ZnGe crystal at the PBE level of DFT.

Results
The symmetry is R-3m. The calculation puts the theoretical density at 6.03 g/cm3. For the total energy, the calculation gives -0.315 Ry/atom. The calculation puts the size of the total moment at 0.0 Bohr magnetons per cell.

```
4
Lattice="4.644 0.000 0.000 2.322 4.022 0.000 2.322 1.341 6.190" Properties=species:S:1:pos:R:3 pbc="T T T"
Zn 4.644 2.681 3.095
Pr 6.966 4.022 4.740
Pr 2.322 1.341 1.450
Ge 0.000 0.000 0.000
```